FeSb2Pt: optimized geometry, PBE. Values from VASP.

Cell and atoms, written as Quantum ESPRESSO input:
```
&SYSTEM
  ibrav = 0, nat = 4, ntyp = 3
/
ATOMIC_SPECIES
Fe 55.84 Fe.upf
Sb 121.76 Sb.upf
Pt 195.08 Pt.upf
ATOMIC_POSITIONS angstrom
Fe 8.586 1.606 0.949
Sb 0.521 0.097 0.058
Sb 3.838 0.718 0.424
Pt 13.727 2.568 1.517
CELL_PARAMETERS angstrom
6.432 -0.891 -0.526
5.675 3.155 -0.526
5.675 1.062 3.018
```

Results
* calculated volume: 22.25 A^3/atom
* magnetization: 0.629 μB per atom
* formation energy from raw total energies: -0.029 eV per atom
* distance to the lowest polymorph of the same formula: 0.62 eV/f.u.

=====

FeSbPt3: optimized geometry, PBE. Values from VASP.

Cell and atoms, written as Quantum ESPRESSO input:
```
&SYSTEM
  ibrav = 0, nat = 5, ntyp = 3
/
ATOMIC_SPECIES
Pt 195.08 Pt.upf
Fe 55.84 Fe.upf
Sb 121.76 Sb.upf
ATOMIC_POSITIONS angstrom
Pt 2.456 0.000 0.000
Pt 0.000 2.456 0.000
Pt 0.000 0.000 2.456
Fe 2.456 2.456 2.456
Sb 0.000 0.000 0.000
CELL_PARAMETERS angstrom
4.912 0.000 0.000
0.000 4.912 0.000
0.000 0.000 4.912
```

Results
* calculated volume: 23.70 A^3/atom
* magnetization: 0.697 μB per atom
* formation energy from raw total energies: 1.082 eV per atom
* distance to the lowest polymorph of the same formula: 2.19 eV/f.u.